Record 1
A relaxed structure of Pa2InPd, computed with GGA-PBE.

Results
E above lowest polymorph ... 19 meV/atom
Energy of formation from the pure elements ... -0.215 eV/atom

Cell and atoms, written as CIF:
```
data_Pa2InPd
_chemical_formula_sum 'Pa2 In1 Pd1'
_cell_length_a 4.3371
_cell_length_b 4.3371
_cell_length_c 4.7228
_cell_angle_alpha 90.00
_cell_angle_beta 90.00
_cell_angle_gamma 90.00
_symmetry_space_group_name_H-M 'P 4/m m m'
_symmetry_Int_Tables_number 123
_symmetry_space_group_name_Hall '-P 4 2'
loop_
_atom_site_label
_atom_site_type_symbol
_atom_site_fract_x
_atom_site_fract_y
_atom_site_fract_z
_atom_site_occupancy
Pa1 Pa 0.0000 0.5000 0.0000 1
In1 In 0.0000 0.0000 0.5000 1
Pd1 Pd 0.5000 0.5000 0.5000 1
```

Record 2
A relaxed structure of PaIn5Pd4, computed with GGA-PBE.

Results
Energy of formation from the pure elements ... -0.399 eV/atom

Cell and atoms, written as CIF:
```
data_PaIn5Pd4
_chemical_formula_sum 'Pa1 In5 Pd4'
_cell_length_a 3.2391
_cell_length_b 3.2391
_cell_length_c 18.4572
_cell_angle_alpha 90.00
_cell_angle_beta 90.00
_cell_angle_gamma 90.00
_symmetry_space_group_name_H-M 'P 4/m m m'
_symmetry_Int_Tables_number 123
_symmetry_space_group_name_Hall '-P 4 2'
loop_
_atom_site_label
_atom_site_type_symbol
_atom_site_fract_x
_atom_site_fract_y
_atom_site_fract_z
_atom_site_occupancy
Pa1 Pa 0.0000 0.0000 0.0000 1
In1 In 0.5000 0.5000 0.1303 1
In2 In 0.5000 0.5000 0.3151 1
In3 In 0.5000 0.5000 0.5000 1
Pd1 Pd 0.0000 0.0000 0.2228 1
Pd2 Pd 0.0000 0.0000 0.4076 1
```

Record 3
A relaxed structure of Pa2InPd9, computed with GGA-PBE.

Results
Energy of formation from the pure elements ... -0.693 eV/atom

Cell and atoms, written as CIF:
```
data_Pa2InPd9
_chemical_formula_sum 'Pa2 In1 Pd9'
_cell_length_a 4.1390
_cell_length_b 4.1390
_cell_length_c 12.2306
_cell_angle_alpha 90.00
_cell_angle_beta 90.00
_cell_angle_gamma 90.00
_symmetry_space_group_name_H-M 'P 4/m m m'
_symmetry_Int_Tables_number 123
_symmetry_space_group_name_Hall '-P 4 2'
loop_
_atom_site_label
_atom_site_type_symbol
_atom_site_fract_x
_atom_site_fract_y
_atom_site_fract_z
_atom_site_occupancy
Pa1 Pa 0.0000 0.0000 0.1737 1
In1 In 0.0000 0.0000 0.5000 1
Pd1 Pd 0.0000 0.5000 0.0000 1
Pd2 Pd 0.0000 0.5000 0.3325 1
Pd3 Pd 0.5000 0.5000 0.1670 1
Pd4 Pd 0.5000 0.5000 0.5000 1
```

Record 4
A relaxed structure of Pa2In3Pd3, computed with GGA-PBE.

Results
Energy of formation from the pure elements ... -0.182 eV/atom

Cell and atoms, written as CIF:
```
data_Pa2In3Pd3
_chemical_formula_sum 'Pa2 In3 Pd3'
_cell_length_a 8.0782
_cell_length_b 8.0782
_cell_length_c 3.0973
_cell_angle_alpha 90.00
_cell_angle_beta 90.00
_cell_angle_gamma 120.00
_symmetry_space_group_name_H-M 'P -6 2 m'
_symmetry_Int_Tables_number 189
_symmetry_space_group_name_Hall 'P -6 -2'
loop_
_atom_site_label
_atom_site_type_symbol
_atom_site_fract_x
_atom_site_fract_y
_atom_site_fract_z
_atom_site_occupancy
Pa1 Pa 0.3333 0.6667 0.0000 1
In1 In 0.0000 0.7735 0.0000 1
Pd1 Pd 0.0000 0.3543 0.5000 1
```

Record 5
A relaxed structure of Pa2In8Pd, computed with GGA-PBE.

Results
Energy of formation from the pure elements ... -0.221 eV/atom

Cell and atoms, written as CIF:
```
data_Pa2In8Pd
_chemical_formula_sum 'Pa2 In8 Pd1'
_cell_length_a 4.6881
_cell_length_b 4.6881
_cell_length_c 12.1326
_cell_angle_alpha 90.00
_cell_angle_beta 90.00
_cell_angle_gamma 90.00
_symmetry_space_group_name_H-M 'P 4/m m m'
_symmetry_Int_Tables_number 123
_symmetry_space_group_name_Hall '-P 4 2'
loop_
_atom_site_label
_atom_site_type_symbol
_atom_site_fract_x
_atom_site_fract_y
_atom_site_fract_z
_atom_site_occupancy
Pa1 Pa 0.0000 0.0000 0.1885 1
In1 In 0.0000 0.5000 0.0000 1
In2 In 0.0000 0.5000 0.3734 1
In3 In 0.5000 0.5000 0.1882 1
Pd1 Pd 0.0000 0.0000 0.5000 1
```

Record 6
A relaxed structure of Pa2In2Pd5, computed with GGA-PBE.

Results
Energy of formation from the pure elements ... -0.432 eV/atom

Cell and atoms, written as CIF:
```
data_Pa2In2Pd5
_chemical_formula_sum 'Pa8 In8 Pd20'
_cell_length_a 13.8831
_cell_length_b 6.6358
_cell_length_c 7.9501
_cell_angle_alpha 90.00
_cell_angle_beta 90.00
_cell_angle_gamma 90.00
_symmetry_space_group_name_H-M 'I m a 2'
_symmetry_Int_Tables_number 46
loop_
_symmetry_equiv_pos_as_xyz
'x,y,z'
'-x,-y,z'
'-x+1/2,y,z'
'x+1/2,-y,z'
'x+1/2,y+1/2,z+1/2'
'-x+1/2,-y+1/2,z+1/2'
'-x,y+1/2,z+1/2'
'x,-y+1/2,z+1/2'
loop_
_atom_site_label
_atom_site_type_symbol
_atom_site_fract_x
_atom_site_fract_y
_atom_site_fract_z
_atom_site_occupancy
Pa1 Pa 0.1276 0.0193 0.0000 1
In1 In 0.0000 0.0000 0.6047 1
In2 In 0.2500 0.5235 0.0979 1
Pd1 Pd 0.0472 0.1869 0.3050 1
Pd2 Pd 0.1514 0.6892 0.8038 1
Pd3 Pd 0.2500 0.1916 0.2969 1
```

Record 7
A relaxed structure of PaInPdRh, computed with GGA-PBE.

Results
Energy of formation from the pure elements ... -0.560 eV/atom

Cell and atoms, written as CIF:
```
data_PaInPdRh
_chemical_formula_sum 'Pa4 In4 Pd4 Rh4'
_cell_length_a 6.8092
_cell_length_b 6.8092
_cell_length_c 6.8092
_cell_angle_alpha 90.00
_cell_angle_beta 90.00
_cell_angle_gamma 90.00
_symmetry_space_group_name_H-M 'F -4 3 m'
_symmetry_Int_Tables_number 216
_symmetry_space_group_name_Hall 'F -4 2 3'
loop_
_atom_site_label
_atom_site_type_symbol
_atom_site_fract_x
_atom_site_fract_y
_atom_site_fract_z
_atom_site_occupancy
Pa1 Pa 0.0000 0.0000 0.0000 1
In1 In 0.0000 0.0000 0.5000 1
Pd1 Pd 0.2500 0.2500 0.2500 1
Rh1 Rh 0.2500 0.2500 0.7500 1
```

Record 8
A relaxed structure of PaInPdRu, computed with GGA-PBE.

Results
Energy of formation from the pure elements ... -0.377 eV/atom

Cell and atoms, written as CIF:
```
data_PaInPdRu
_chemical_formula_sum 'Pa4 In4 Pd4 Ru4'
_cell_length_a 6.7841
_cell_length_b 6.7841
_cell_length_c 6.7841
_cell_angle_alpha 90.00
_cell_angle_beta 90.00
_cell_angle_gamma 90.00
_symmetry_space_group_name_H-M 'F -4 3 m'
_symmetry_Int_Tables_number 216
_symmetry_space_group_name_Hall 'F -4 2 3'
loop_
_atom_site_label
_atom_site_type_symbol
_atom_site_fract_x
_atom_site_fract_y
_atom_site_fract_z
_atom_site_occupancy
Pa1 Pa 0.0000 0.0000 0.0000 1
In1 In 0.0000 0.0000 0.5000 1
Pd1 Pd 0.2500 0.2500 0.2500 1
Ru1 Ru 0.2500 0.2500 0.7500 1
```

Record 9
A relaxed structure of Sr2PaInPd6, computed with GGA-PBE.

Results
Energy of formation from the pure elements ... -0.175 eV/atom

Cell and atoms, written as CIF:
```
data_Sr2PaInPd6
_chemical_formula_sum 'Sr8 Pa4 In4 Pd24'
_cell_length_a 10.2225
_cell_length_b 10.2225
_cell_length_c 10.2225
_cell_angle_alpha 90.00
_cell_angle_beta 90.00
_cell_angle_gamma 90.00
_symmetry_space_group_name_H-M 'F m -3 m'
_symmetry_Int_Tables_number 225
_symmetry_space_group_name_Hall '-F 4 2 3'
loop_
_atom_site_label
_atom_site_type_symbol
_atom_site_fract_x
_atom_site_fract_y
_atom_site_fract_z
_atom_site_occupancy
Sr1 Sr 0.2500 0.2500 0.2500 1
Pa1 Pa 0.0000 0.0000 0.0000 1
In1 In 0.0000 0.0000 0.5000 1
Pd1 Pd 0.0000 0.0000 0.2460 1
```

Record 10
A relaxed structure of PaZnInPd, computed with GGA-PBE.

Results
Energy of formation from the pure elements ... -0.335 eV/atom

Cell and atoms, written as CIF:
```
data_PaZnInPd
_chemical_formula_sum 'Pa4 Zn4 In4 Pd4'
_cell_length_a 6.8585
_cell_length_b 6.8585
_cell_length_c 6.8585
_cell_angle_alpha 90.00
_cell_angle_beta 90.00
_cell_angle_gamma 90.00
_symmetry_space_group_name_H-M 'F -4 3 m'
_symmetry_Int_Tables_number 216
_symmetry_space_group_name_Hall 'F -4 2 3'
loop_
_atom_site_label
_atom_site_type_symbol
_atom_site_fract_x
_atom_site_fract_y
_atom_site_fract_z
_atom_site_occupancy
Pa1 Pa 0.0000 0.0000 0.0000 1
Zn1 Zn 0.2500 0.2500 0.2500 1
In1 In 0.0000 0.0000 0.5000 1
Pd1 Pd 0.2500 0.2500 0.7500 1
```

Record 11
A relaxed structure of PmPaIn4, computed with GGA-PBE.

Results
Energy of formation from the pure elements ... -0.116 eV/atom

Cell and atoms, written as CIF:
```
data_PmPaIn4
_chemical_formula_sum 'Pm4 Pa4 In16'
_cell_length_a 8.5284
_cell_length_b 8.5284
_cell_length_c 8.5284
_cell_angle_alpha 90.00
_cell_angle_beta 90.00
_cell_angle_gamma 90.00
_symmetry_space_group_name_H-M 'F -4 3 m'
_symmetry_Int_Tables_number 216
_symmetry_space_group_name_Hall 'F -4 2 3'
loop_
_atom_site_label
_atom_site_type_symbol
_atom_site_fract_x
_atom_site_fract_y
_atom_site_fract_z
_atom_site_occupancy
Pm1 Pm 0.0000 0.0000 0.0000 1
Pa1 Pa 0.2500 0.2500 0.7500 1
In1 In 0.1248 0.1248 0.3752 1
```

Record 12
A relaxed structure of Pm2PaIn9, computed with GGA-PBE.

Results
Energy of formation from the pure elements ... -0.360 eV/atom

Cell and atoms, written as CIF:
```
data_Pm2PaIn9
_chemical_formula_sum 'Pm2 Pa1 In9'
_cell_length_a 4.6728
_cell_length_b 4.6728
_cell_length_c 14.0366
_cell_angle_alpha 90.00
_cell_angle_beta 90.00
_cell_angle_gamma 90.00
_symmetry_space_group_name_H-M 'P 4/m m m'
_symmetry_Int_Tables_number 123
_symmetry_space_group_name_Hall '-P 4 2'
loop_
_atom_site_label
_atom_site_type_symbol
_atom_site_fract_x
_atom_site_fract_y
_atom_site_fract_z
_atom_site_occupancy
Pm1 Pm 0.0000 0.0000 0.1680 1
Pa1 Pa 0.0000 0.0000 0.5000 1
In1 In 0.0000 0.5000 0.0000 1
In2 In 0.0000 0.5000 0.3359 1
In3 In 0.5000 0.5000 0.1676 1
In4 In 0.5000 0.5000 0.5000 1
```